<one>
SrMo: relaxed, GGA-PBE.

Cell and atoms, written as POSCAR:
```
SrMo
1.0
3.888 0.000 0.000
-1.944 3.367 0.000
0.000 0.000 9.605
Sr Mo
2 2
Direct
0.333 0.667 0.190
0.667 0.333 0.810
0.333 0.667 0.559
0.667 0.333 0.441
```

Results
Space-group type: P-3m1 (164)

=====

<two>
SrMo: relaxed, GGA-PBE.

Cell and atoms, written as POSCAR:
```
SrMo
1.0
2.914 0.000 0.000
0.000 2.914 0.000
0.000 0.000 5.423
Sr Mo
1 1
Direct
0.000 0.000 0.000
0.500 0.500 0.500
```

Results
Space-group type: P4/mmm (123)

=====

Result of the stability comparison: <one> is the most stable of them.

=====

<one>
SrMo: relaxed, GGA-PBE.

Cell and atoms, written as POSCAR:
```
SrMo
1.0
3.314 0.000 0.000
0.000 3.882 0.000
0.000 0.000 9.307
Sr Mo
2 2
Direct
0.250 0.250 0.193
0.750 0.750 0.807
0.250 0.750 0.473
0.750 0.250 0.527
```

Results
Space-group type: Pmmn (59)

=====

<two>
SrMo: relaxed, GGA-PBE.

Cell and atoms, written as POSCAR:
```
SrMo
1.0
4.182 0.000 0.000
0.000 4.182 0.000
0.000 0.000 2.857
Sr Mo
1 1
Direct
0.000 0.000 0.000
0.500 0.500 0.500
```

Results
Space-group type: P4/mmm (123)

=====

Result of the stability comparison: <one> is the most stable of them.

=====

<one>
SrMo: relaxed, GGA-PBE.

Cell and atoms, written as POSCAR:
```
SrMo
1.0
7.217 0.000 0.000
0.000 7.217 0.000
0.000 0.000 7.217
Sr Mo
8 8
Direct
0.125 0.125 0.125
0.125 0.625 0.625
0.375 0.375 0.875
0.375 0.875 0.375
0.625 0.125 0.625
0.625 0.625 0.125
0.875 0.375 0.375
0.875 0.875 0.875
0.125 0.125 0.625
0.125 0.625 0.125
0.375 0.375 0.375
0.375 0.875 0.875
0.625 0.125 0.125
0.625 0.625 0.625
0.875 0.375 0.875
0.875 0.875 0.375
```

Results
Space-group type: Fd-3m (227)

=====

<two>
SrMo: relaxed, GGA-PBE.

Cell and atoms, written as POSCAR:
```
SrMo
1.0
3.571 0.000 0.000
-1.786 3.093 0.000
0.000 0.000 31.418
Sr Mo
6 6
Direct
0.000 0.000 0.108
0.000 0.000 0.892
0.333 0.667 0.559
0.333 0.667 0.774
0.667 0.333 0.226
0.667 0.333 0.441
0.000 0.000 0.356
0.000 0.000 0.644
0.333 0.667 0.023
0.333 0.667 0.310
0.667 0.333 0.690
0.667 0.333 0.977
```

Results
Space-group type: R-3m (166)

=====

Result of the stability comparison: <two> is the most stable of them.

=====

<one>
SrMo3: relaxed, GGA-PBE.

Cell and atoms, written as POSCAR:
```
SrMo3
1.0
2.848 0.000 0.000
0.000 4.418 0.000
0.000 0.000 6.755
Sr Mo
1 3
Direct
0.000 0.000 0.000
0.000 0.500 0.653
0.500 0.000 0.501
0.500 0.500 0.306
```

Results
Space-group type: Pmm2 (25)

=====

<two>
SrMo3: relaxed, GGA-PBE.

Cell and atoms, written as POSCAR:
```
SrMo3
1.0
4.720 0.000 0.000
0.000 4.720 0.000
0.000 0.000 6.662
Sr Mo
2 6
Direct
0.000 0.000 0.000
0.500 0.500 0.500
0.000 0.000 0.500
0.000 0.500 0.250
0.000 0.500 0.750
0.500 0.000 0.250
0.500 0.000 0.750
0.500 0.500 0.000
```

Results
Space-group type: I4/mmm (139)

=====

<three>
SrMo3: relaxed, GGA-PBE.

Cell and atoms, written as POSCAR:
```
SrMo3
1.0
4.285 0.000 0.000
0.000 4.285 0.000
0.000 0.000 4.285
Sr Mo
1 3
Direct
0.000 0.000 0.000
0.000 0.500 0.500
0.500 0.000 0.500
0.500 0.500 0.000
```

Results
Space-group type: Pm-3m (221)

=====

<four>
SrMo3: relaxed, GGA-PBE.

Cell and atoms, written as POSCAR:
```
SrMo3
1.0
10.139 0.000 0.000
0.000 2.680 0.000
-0.960 0.000 6.026
Sr Mo
2 6
Direct
0.000 0.000 0.000
0.500 0.500 0.000
0.000 0.500 0.500
0.227 0.000 0.691
0.273 0.500 0.309
0.500 0.000 0.500
0.727 0.500 0.691
0.773 0.000 0.309
```

Results
Space-group type: C2/m (12)

=====

Result of the stability comparison: <one> is the most stable of them.

=====

<one>
Sr5Mo: relaxed, GGA-PBE.

Cell and atoms, written as POSCAR:
```
Sr5Mo
1.0
4.906 0.000 0.000
0.000 17.560 0.000
0.000 0.000 6.102
Sr Mo
10 2
Direct
0.000 0.000 0.000
0.000 0.143 0.500
0.000 0.337 0.000
0.000 0.663 0.000
0.000 0.857 0.500
0.500 0.163 0.000
0.500 0.357 0.500
0.500 0.500 0.000
0.500 0.643 0.500
0.500 0.837 0.000
0.000 0.500 0.500
0.500 0.000 0.500
```

Results
Space-group type: Cmmm (65)

=====

<two>
Sr5Mo: relaxed, GGA-PBE.

Cell and atoms, written as POSCAR:
```
Sr5Mo
1.0
14.101 0.000 0.000
0.000 4.056 0.000
-3.803 0.000 9.305
Sr Mo
10 2
Direct
0.000 0.000 0.000
0.129 0.500 0.373
0.164 0.500 0.779
0.336 0.000 0.221
0.371 0.000 0.627
0.500 0.500 0.000
0.629 0.000 0.373
0.664 0.000 0.779
0.836 0.500 0.221
0.871 0.500 0.627
0.000 0.000 0.500
0.500 0.500 0.500
```

Results
Space-group type: C2/m (12)

=====

<three>
Sr5Mo: relaxed, GGA-PBE.

Cell and atoms, written as POSCAR:
```
Sr5Mo
1.0
6.964 0.000 0.000
-3.482 6.031 0.000
0.000 0.000 6.289
Sr Mo
5 1
Direct
0.000 0.691 0.000
0.309 0.309 0.000
0.333 0.667 0.500
0.667 0.333 0.500
0.691 0.000 0.000
0.000 0.000 0.500
```

Results
Space-group type: P-62m (189)

=====

Result of the stability comparison: <two> is the most stable of them.

=====

<one>
SrTaMo2: relaxed, GGA-PBE.

Cell and atoms, written as POSCAR:
```
SrTaMo2
1.0
9.338 0.000 0.000
0.000 2.789 0.000
-0.102 0.000 6.574
Sr Ta Mo
2 2 4
Direct
0.000 0.000 0.000
0.500 0.500 0.000
0.000 0.500 0.500
0.500 0.000 0.500
0.244 0.000 0.686
0.256 0.500 0.314
0.744 0.500 0.686
0.756 0.000 0.314
```

Results
Space-group type: C2/m (12)

=====

<two>
SrTaMo2: relaxed, GGA-PBE.

Cell and atoms, written as POSCAR:
```
SrTaMo2
1.0
4.978 0.000 0.000
0.000 4.978 0.000
0.000 0.000 3.134
Sr Ta Mo
1 1 2
Direct
0.000 0.000 0.000
0.500 0.500 0.000
0.000 0.500 0.500
0.500 0.000 0.500
```

Results
Space-group type: P4/mmm (123)

=====

Result of the stability comparison: <one> is the most stable of them.